The following is a PBE-GGA calculation of TlCd2Si after structural relaxation, from the Alexandria database.

Relative energy among the computed polymorphs = 16.1 meV/atom
Space-group type = No. 6

a = 4.171 Å, b = 3.122 Å, c = 7.484 Å
α = 77.07°, β = 90.00°, γ = 90.00°
Sites, in units of the cell vectors:
Cd1 0.500 0.295 0.280
Cd2 0.000 0.923 0.028
Tl1 0.500 0.573 0.745
Si1 0.000 0.710 0.446

=====

The following is a PBE-GGA calculation of TlCd2Si after structural relaxation, from the Alexandria database.

Relative energy among the computed polymorphs = 62.8 meV/atom
Space-group type = No. 139

a = 5.398 Å, b = 5.398 Å, c = 5.398 Å
α = 128.89°, β = 128.89°, γ = 75.19°
Sites, in units of the cell vectors:
Cd1 0.500 0.500 0.000
Cd2 0.000 0.000 0.000
Tl1 0.750 0.250 0.500
Si1 0.250 0.750 0.500

=====

The following is a PBE-GGA calculation of TlCdSi2 after structural relaxation, from the Alexandria database.

Relative energy among the computed polymorphs = 382.3 meV/atom
Space-group type = No. 47

a = 3.179 Å, b = 5.181 Å, c = 5.183 Å
α = 90.00°, β = 90.00°, γ = 90.00°
Sites, in units of the cell vectors:
Si1 0.500 0.500 0.000
Si2 0.000 0.000 0.000
Tl1 0.500 0.000 0.500
Cd1 0.000 0.500 0.500

=====

The following is a PBE-GGA calculation of Tl2VCdSi after structural relaxation, from the Alexandria database.

Space-group type = No. 123

a = 5.602 Å, b = 4.846 Å, c = 5.602 Å
α = 90.00°, β = 90.00°, γ = 90.00°
Sites, in units of the cell vectors:
Tl1 0.500 0.000 0.000
Tl2 0.000 0.000 0.500
V1 0.500 0.500 0.500
Cd1 0.000 0.000 0.000
Si1 0.000 0.500 0.000

=====

Formation energy (no corrections)? In order: 28; 33; 58; 137 kJ per mole of atoms.